[1]
DFT (PBE-GGA) results for CaCdRh2 after structural relaxation.

Results
* raw total energy: -4.515 eV/atom
* calculated density: 7.8 Mg/m³
* formation enthalpy at 0 K: -0.11 eV/atom
* magnetic moment: 0.00 Bohr magnetons per cell

a b c (Å): 3.159 4.512 5.549
angles (deg): 90.00 106.38 90.00
Space group Pm (No. 6)
Symmetry-distinct sites (fractional):
Ca (0.000, 0.000, 0.000) x1
Cd (0.680, 0.500, 0.355) x1
Rh (0.272, 0.000, 0.537) x1
Rh (0.400, 0.500, 0.799) x1

=====

[2]
DFT (PBE-GGA) results for Ca2Cd5Rh4 after structural relaxation.

Results
* raw total energy: -3.615 eV/atom
* calculated density: 7.7 Mg/m³
* formation enthalpy at 0 K: -0.16 eV/atom
* magnetic moment: 0.00 Bohr magnetons per cell

a b c (Å): 12.621 5.656 8.685
angles (deg): 90.00 132.69 90.00
Space group C2/m (No. 12)
Symmetry-distinct sites (fractional):
Ca (0.217, 0.000, 0.220) x4
Cd (0.000, 0.248, 0.307) x8
Cd (0.000, 0.500, 0.000) x2
Rh (0.240, 0.500, 0.060) x4
Rh (0.240, 0.500, 0.415) x4

=====

[3]
DFT (PBE-GGA) results for Ca4Cd3Rh after structural relaxation.

Results
* raw total energy: -2.599 eV/atom
* calculated density: 4.8 Mg/m³
* formation enthalpy at 0 K: -0.34 eV/atom
* magnetic moment: 0.00 Bohr magnetons per cell

a b c (Å): 3.672 3.672 15.380
angles (deg): 90.00 90.00 90.00
Space group P4/mmm (No. 123)
Symmetry-distinct sites (fractional):
Ca (0.000, 0.000, 0.105) x2
Ca (0.000, 0.000, 0.368) x2
Cd (0.500, 0.500, 0.236) x2
Cd (0.500, 0.500, 0.500) x1
Rh (0.500, 0.500, 0.000) x1